# Rb4Tl3Pd2

An optimized crystal structure of Rb4Tl3Pd2 (PBE-GGA, Alexandria via LeMat-Bulk).

Cell: 19.362 4.381 8.919 Å, 90.00 109.77 90.00°
Space group C2/m (No. 12)
Inequivalent atoms, fractional coordinates:
Rb: 0.078 0.000 0.386 x4
Rb: 0.226 0.500 0.185 x4
Tl: 0.000 0.500 0.000 x2
Tl: 0.102 0.500 0.761 x4
Pd: 0.077 0.000 0.937 x4

N(E_F) ... 4.4 states/eV/f.u.
Calculated formation energy ... -0.11 eV/atom
Total magnetic moment ... 0.0 μB/f.u.